No. 1
Below is a relaxed LaCeOsBr crystal, with properties calculated at the PBE level.

a b c (Å): 4.0914 4.0912 8.2790
angles (deg): 90.00 104.30 120.00
Site moments in Bohr magnetons follow the coordinates.
Element x y z (fractional)
1 La 0.5052 0.1505 0.6708  0.00
2 Ce 0.0958 0.9458 0.0572  0.33
3 Os 0.3145 0.5551 0.8850  -0.05
4 Br 0.9624 0.3793 0.3567  0.00

Properties
symmetry: R3m (160)
density of states at the Fermi level: 1.0191 states/eV/atom
calculated total energy: -6.7257 eV/atom
ρ: 7.93 g/cm3
formation energy (no corrections): -0.78 eV per atom

***

No. 2
Below is a relaxed PmCd6 crystal, with properties calculated at the PBE level.

a b c (Å): 6.1408 6.1408 9.1571
angles (deg): 90.00 90.00 90.00
Element x y z (fractional)
1 Pm 0.5000 0.0000 0.0000
2 Pm 0.0000 0.5000 0.0000
3 Cd 0.5000 0.5000 0.1534
4 Cd 0.0000 0.0000 0.1534
5 Cd 0.0000 0.0000 0.8466
6 Cd 0.5000 0.5000 0.8466
7 Cd 0.8267 0.6733 0.3584
8 Cd 0.3267 0.8267 0.3584
9 Cd 0.6733 0.1733 0.3584
10 Cd 0.1733 0.3267 0.3584
11 Cd 0.6733 0.8267 0.6416
12 Cd 0.1733 0.6733 0.6416
13 Cd 0.8267 0.3267 0.6416
14 Cd 0.3267 0.1733 0.6416

Properties
symmetry: P4/nbm (125)
density of states at the Fermi level: 0.6595 states/eV/atom
calculated total energy: -1.5620 eV/atom
ΔE to the lowest computed polymorph: 0.0 meV/atom
ρ: 7.88 g/cm3
ΔE_f: -0.099 eV/atom

***

No. 3
Below is a relaxed NdMg2Rh2 crystal, with properties calculated at the PBE level.

a b c (Å): 4.6859 5.0077 8.6623
angles (deg): 80.36 90.00 90.00
Element x y z (fractional)
1 Nd 0.2500 0.6869 0.2233
2 Nd 0.7500 0.3131 0.7767
3 Mg 0.2500 0.7908 0.8436
4 Mg 0.7500 0.2092 0.1564
5 Mg 0.2500 0.1467 0.4871
6 Mg 0.7500 0.8533 0.5129
7 Rh 0.2500 0.6157 0.5745
8 Rh 0.7500 0.3843 0.4255
9 Rh 0.2500 0.2474 0.9955
10 Rh 0.7500 0.7526 0.0045

Properties
symmetry: P2_1/m (11)
density of states at the Fermi level: 0.4180 states/eV/atom
calculated total energy: -5.0112 eV/atom
ρ: 6.61 g/cm3
ΔE_f: -0.479 eV/atom

***

No. 4
Below is a relaxed Hf3TcB4 crystal, with properties calculated at the PBE level.

a b c (Å): 3.3977 4.8358 7.0127
angles (deg): 110.18 104.02 90.00
Element x y z (fractional)
1 Hf 0.0000 0.5000 0.0000
2 Hf 0.1915 0.1916 0.3831
3 Hf 0.8085 0.8084 0.6169
4 Tc 0.5000 0.0000 0.0000
5 B 0.3719 0.5458 0.7438
6 B 0.6281 0.4542 0.2562
7 B 0.6280 0.8018 0.2560
8 B 0.3720 0.1982 0.7440

Properties
symmetry: Immm (71)
density of states at the Fermi level: 0.5861 states/eV/atom
calculated total energy: -8.9387 eV/atom
ρ: 10.75 g/cm3
ΔE_f: -0.572 eV/atom

***

No. 5
Below is a relaxed LaSi2 crystal, with properties calculated at the PBE level.

a b c (Å): 6.1028 6.1028 6.1028
angles (deg): 141.28 111.84 81.24
Element x y z (fractional)
1 La 0.6958 0.4458 0.2500
2 La 0.3042 0.5542 0.7500
3 Si 0.7428 0.1806 0.5622
4 Si 0.8817 0.8194 0.0622
5 Si 0.1183 0.1806 0.9378
6 Si 0.2572 0.8194 0.4378

Properties
symmetry: Imma (74)
density of states at the Fermi level: 0.5593 states/eV/atom
calculated total energy: -5.7495 eV/atom
ρ: 5.05 g/cm3
formation energy (no corrections): -0.49 eV per atom

***

No. 6
Below is a relaxed Hf3Tc2Ni crystal, with properties calculated at the PBE level.

a b c (Å): 3.2715 3.2715 9.5494
angles (deg): 90.00 90.00 90.00
Element x y z (fractional)
1 Hf 0.0000 0.0000 0.0000
2 Hf 0.0000 0.0000 0.6665
3 Hf 0.0000 0.0000 0.3335
4 Tc 0.5000 0.5000 0.8252
5 Tc 0.5000 0.5000 0.1748
6 Ni 0.5000 0.5000 0.5000

Properties
symmetry: P4/mmm (123)
density of states at the Fermi level: 0.5921 states/eV/atom
calculated total energy: -9.9205 eV/atom
ρ: 12.84 g/cm3
ΔE_f: -0.525 eV/atom

***

No. 7
Below is a relaxed Nd3Al12Ru4 crystal, with properties calculated at the PBE level.

a b c (Å): 8.8821 8.8821 9.7206
angles (deg): 90.00 90.00 120.00
Element x y z (fractional)
1 Nd 0.1926 0.3852 0.2500
2 Nd 0.8074 0.6148 0.7500
3 Nd 0.6148 0.8074 0.2500
4 Nd 0.3852 0.1926 0.7500
5 Nd 0.1926 0.8074 0.2500
6 Nd 0.8074 0.1926 0.7500
7 Al 0.3333 0.6667 0.0101
8 Al 0.6667 0.3333 0.9899
9 Al 0.6667 0.3333 0.5101
10 Al 0.3333 0.6667 0.4899
11 Al 0.1628 0.3255 0.5754
12 Al 0.8372 0.6745 0.4246
13 Al 0.6745 0.8372 0.5754
14 Al 0.8372 0.6745 0.0754
15 Al 0.3255 0.1628 0.4246
16 Al 0.1628 0.3255 0.9246
17 Al 0.1628 0.8372 0.5754
18 Al 0.3255 0.1628 0.0754
19 Al 0.8372 0.1628 0.4246
20 Al 0.6745 0.8372 0.9246
21 Al 0.8372 0.1628 0.0754
22 Al 0.1628 0.8372 0.9246
23 Al 0.5627 0.1254 0.2500
24 Al 0.4373 0.8746 0.7500
25 Al 0.8746 0.4373 0.2500
26 Al 0.1254 0.5627 0.7500
27 Al 0.5627 0.4373 0.2500
28 Al 0.4373 0.5627 0.7500
29 Al 0.0000 0.0000 0.2500
30 Al 0.0000 0.0000 0.7500
31 Ru 0.5000 0.0000 0.0000
32 Ru 0.0000 0.5000 0.0000
33 Ru 0.5000 0.0000 0.5000
34 Ru 0.5000 0.5000 0.0000
35 Ru 0.0000 0.5000 0.5000
36 Ru 0.5000 0.5000 0.5000
37 Ru 0.0000 0.0000 0.0000
38 Ru 0.0000 0.0000 0.5000

Properties
symmetry: P6_3/mmc (194)
density of states at the Fermi level: 0.6287 states/eV/atom
calculated total energy: -5.7129 eV/atom
ρ: 5.80 g/cm3
ΔE_f: -0.644 eV/atom

***

- The highest ρ belongs to which entry?
  Hf3Tc2Ni